[1]
# PmNdSmEu

PmNdSmEu after structural relaxation (PBE-GGA, the Alexandria database).

abc: 5.8731 5.8731 5.8731
angles: 60.00 60.00 60.00
Closest atoms and distances in Å follow each position.
Sites, in units of the cell vectors:
Pm: 0.0000 0.0000 0.0000  4 Nd 3.60, 4 Sm 3.60
Nd: 0.2500 0.2500 0.2500  4 Pm 3.60, 4 Eu 3.60
Sm: 0.7500 0.7500 0.7500  4 Eu 3.60, 4 Pm 3.60
Eu: 0.5000 0.5000 0.5000  4 Nd 3.60, 4 Sm 3.60

Values from the calculation:
Fermi-level density of states   6.22 states/eV/f.u.
E_tot   -5.99 eV per atom
E_form   0.14 eV per atom

[2]
# SrPmNdEu

SrPmNdEu after structural relaxation (PBE-GGA, the Alexandria database).

abc: 6.0855 6.0855 6.0855
angles: 60.00 60.00 60.00
Closest atoms and distances in Å follow each position.
Sites, in units of the cell vectors:
Sr: 0.0000 0.0000 0.0000  4 Eu 3.73, 4 Pm 3.73
Pm: 0.2500 0.2500 0.2500  4 Nd 3.73, 4 Sr 3.73
Nd: 0.5000 0.5000 0.5000  4 Eu 3.73, 4 Pm 3.73
Eu: 0.7500 0.7500 0.7500  4 Sr 3.73, 4 Nd 3.73

Values from the calculation:
Fermi-level density of states   5.49 states/eV/f.u.
E_tot   -5.19 eV per atom
E_form   0.18 eV per atom

[3]
# PmNdEuTl

PmNdEuTl after structural relaxation (PBE-GGA, the Alexandria database).

abc: 5.6633 5.6633 5.6633
angles: 60.00 60.00 60.00
Closest atoms and distances in Å follow each position.
Sites, in units of the cell vectors:
Pm: 0.0000 0.0000 0.0000  4 Nd 3.47, 4 Eu 3.47
Nd: 0.7500 0.7500 0.7500  4 Pm 3.47, 4 Tl 3.47
Eu: 0.2500 0.2500 0.2500  4 Tl 3.47, 4 Pm 3.47
Tl: 0.5000 0.5000 0.5000  4 Nd 3.47, 4 Eu 3.47

Values from the calculation:
Fermi-level density of states   6.25 states/eV/f.u.
E_tot   -5.57 eV per atom
E_form   -0.03 eV per atom

[4]
# PmNdEuTm

PmNdEuTm after structural relaxation (PBE-GGA, the Alexandria database).

abc: 5.8191 5.8191 5.8191
angles: 60.00 60.00 60.00
Closest atoms and distances in Å follow each position.
Sites, in units of the cell vectors:
Pm: 0.0000 0.0000 0.0000  4 Nd 3.56, 4 Tm 3.56
Nd: 0.7500 0.7500 0.7500  4 Pm 3.56, 4 Eu 3.56
Eu: 0.5000 0.5000 0.5000  4 Nd 3.56, 4 Tm 3.56
Tm: 0.2500 0.2500 0.2500  4 Pm 3.56, 4 Eu 3.56

Values from the calculation:
Fermi-level density of states   7.24 states/eV/f.u.
E_tot   -5.91 eV per atom
E_form   0.16 eV per atom

[5]
# PmNdEuY

PmNdEuY after structural relaxation (PBE-GGA, the Alexandria database).

abc: 5.8521 5.8521 5.8521
angles: 60.00 60.00 60.00
Closest atoms and distances in Å follow each position.
Sites, in units of the cell vectors:
Pm: 0.0000 0.0000 0.0000  4 Nd 3.58, 4 Y 3.58
Nd: 0.2500 0.2500 0.2500  4 Pm 3.58, 4 Eu 3.58
Eu: 0.5000 0.5000 0.5000  4 Nd 3.58, 4 Y 3.58
Y: 0.7500 0.7500 0.7500  4 Pm 3.58, 4 Eu 3.58

Values from the calculation:
Fermi-level density of states   7.15 states/eV/f.u.
E_tot   -6.42 eV per atom
E_form   0.15 eV per atom

[6]
# PmNdEuZn

PmNdEuZn after structural relaxation (PBE-GGA, the Alexandria database).

abc: 5.5064 5.5064 5.5064
angles: 60.00 60.00 60.00
Closest atoms and distances in Å follow each position.
Sites, in units of the cell vectors:
Pm: 0.0000 0.0000 0.0000  4 Zn 3.37, 4 Eu 3.37
Nd: 0.5000 0.5000 0.5000  4 Zn 3.37, 4 Eu 3.37
Eu: 0.7500 0.7500 0.7500  4 Nd 3.37, 4 Pm 3.37
Zn: 0.2500 0.2500 0.2500  4 Nd 3.37, 4 Pm 3.37

Values from the calculation:
Fermi-level density of states   3.98 states/eV/f.u.
E_tot   -5.22 eV per atom
E_form   0.05 eV per atom

- The lowest Fermi-level density of states belongs to which entry?
  PmNdEuZn

- The highest Fermi-level density of states belongs to which entry?
  PmNdEuTm

Repeat the first record exactly.
# PmNdSmEu

PmNdSmEu after structural relaxation (PBE-GGA, the Alexandria database).

abc: 5.8731 5.8731 5.8731
angles: 60.00 60.00 60.00
Closest atoms and distances in Å follow each position.
Sites, in units of the cell vectors:
Pm: 0.0000 0.0000 0.0000  4 Nd 3.60, 4 Sm 3.60
Nd: 0.2500 0.2500 0.2500  4 Pm 3.60, 4 Eu 3.60
Sm: 0.7500 0.7500 0.7500  4 Eu 3.60, 4 Pm 3.60
Eu: 0.5000 0.5000 0.5000  4 Nd 3.60, 4 Sm 3.60

Values from the calculation:
Fermi-level density of states   6.22 states/eV/f.u.
E_tot   -5.99 eV per atom
E_form   0.14 eV per atom